Version i
{"formula": "KAg2Pd2", "functional": "PBE", "state": "relaxed", "mass_density_g_cm3": 6.824, "lattice_angstrom": [[-3.870, 2.131, -0.112], [-1.502, -2.554, 3.279], [-0.686, 3.625, 5.488]], "species": ["Pd", "Pd", "K", "Ag", "Ag"], "frac_coords": [[0.612, 0.612, 0.776], [0.388, 0.388, 0.224], [0.000, 0.000, 0.000], [0.750, 0.250, 0.500], [0.250, 0.750, 0.500]]}

Version ii
{"formula": "KAg2Pd2", "functional": "PBE", "state": "relaxed", "mass_density_g_cm3": 6.798, "lattice_angstrom": [[4.422, 0.000, 0.000], [0.000, 4.422, 0.000], [-2.211, -2.211, 11.687]], "species": ["Ag", "Ag", "Ag", "Ag", "Pd", "Pd", "Pd", "Pd", "K", "K"], "frac_coords": [[0.000, 0.500, 0.000], [0.818, 0.818, 0.636], [0.182, 0.182, 0.364], [0.500, 0.000, 0.000], [0.933, 0.933, 0.866], [0.250, 0.750, 0.500], [0.067, 0.067, 0.134], [0.750, 0.250, 0.500], [0.627, 0.627, 0.254], [0.373, 0.373, 0.746]]}

Stability ranking, top and bottom: version ii is the most stable and version i is the least stable.

Version i
{"formula": "KAg2Pd2", "functional": "PBE", "state": "relaxed", "mass_density_g_cm3": 7.768, "lattice_angstrom": [[8.291, 0.000, 0.000], [0.000, 8.291, 0.000], [0.000, 0.000, 2.909]], "species": ["K", "K", "Pd", "Pd", "Pd", "Pd", "Ag", "Ag", "Ag", "Ag"], "frac_coords": [[0.000, 0.000, 0.000], [0.500, 0.500, 0.000], [0.379, 0.879, 0.000], [0.621, 0.121, 0.000], [0.121, 0.379, 0.000], [0.879, 0.621, 0.000], [0.328, 0.172, 0.500], [0.672, 0.828, 0.500], [0.828, 0.328, 0.500], [0.172, 0.672, 0.500]]}

Version ii
{"formula": "KAg2Pd2", "functional": "PBE", "state": "relaxed", "mass_density_g_cm3": 7.762, "lattice_angstrom": [[-1.685, -7.068, -4.143], [7.149, -3.335, 2.781], [-1.369, -1.019, 2.295]], "species": ["Pd", "Pd", "Pd", "Pd", "Ag", "Ag", "Ag", "Ag", "K", "K"], "frac_coords": [[0.832, 0.332, 0.500], [0.668, 0.832, 0.500], [0.168, 0.668, 0.500], [0.332, 0.168, 0.500], [0.875, 0.625, 0.000], [0.375, 0.875, 0.000], [0.625, 0.125, 0.000], [0.125, 0.375, 0.000], [0.500, 0.500, 0.000], [0.000, 0.000, 0.000]]}

Stability ranking, top and bottom: version i is the most stable and version ii is the least stable.

Version i
{"formula": "KAgPd2", "functional": "PBE", "state": "relaxed", "mass_density_g_cm3": 5.444, "lattice_angstrom": [[-2.615, -0.943, 3.916], [4.020, -0.908, 2.466], [1.210, 8.231, 5.734]], "species": ["K", "K", "Pd", "Pd", "Pd", "Pd", "Ag", "Ag"], "frac_coords": [[0.500, 0.500, 0.000], [0.250, 0.750, 0.500], [0.375, 0.221, 0.750], [0.875, 0.029, 0.750], [0.971, 0.625, 0.250], [0.779, 0.125, 0.250], [0.000, 0.000, 0.000], [0.750, 0.250, 0.500]]}

Version ii
{"formula": "KAgPd2", "functional": "PBE", "state": "relaxed", "mass_density_g_cm3": 7.550, "lattice_angstrom": [[1.186, 3.162, 3.438], [-2.867, 3.768, 0.901], [-2.537, 0.173, 4.094]], "species": ["Pd", "Pd", "Ag", "K"], "frac_coords": [[0.250, 0.250, 0.250], [0.750, 0.750, 0.750], [0.500, 0.500, 0.500], [0.000, 0.000, 0.000]]}

Stability ranking, top and bottom: version ii is the most stable and version i is the least stable.

Version i
{"formula": "KPmAg2", "functional": "PBE", "state": "relaxed", "mass_density_g_cm3": 5.969, "lattice_angstrom": [[3.497, 0.000, 0.000], [0.000, 5.640, 0.000], [0.000, 0.000, 5.640]], "species": ["Pm", "Ag", "Ag", "K"], "frac_coords": [[0.500, 0.500, 0.500], [0.000, 0.000, 0.500], [0.000, 0.500, 0.000], [0.500, 0.000, 0.000]]}

Version ii
{"formula": "KPmAg2", "functional": "PBE", "state": "relaxed", "mass_density_g_cm3": 5.442, "lattice_angstrom": [[3.855, 0.000, 0.000], [0.000, 3.855, 0.000], [0.000, 0.000, 8.208]], "species": ["Pm", "Ag", "Ag", "K"], "frac_coords": [[0.500, 0.500, 0.000], [0.000, 0.000, 0.812], [0.000, 0.000, 0.188], [0.500, 0.500, 0.500]]}

Stability ranking, top and bottom: version ii is the most stable and version i is the least stable.

Version i
{"formula": "KAg2Pt2", "functional": "PBE", "state": "relaxed", "mass_density_g_cm3": 10.748, "lattice_angstrom": [[8.479, 0.000, 0.000], [0.000, 8.479, 0.000], [0.000, 0.000, 2.772]], "species": ["Ag", "Ag", "Ag", "Ag", "Pt", "Pt", "Pt", "Pt", "K", "K"], "frac_coords": [[0.877, 0.623, 0.000], [0.123, 0.377, 0.000], [0.377, 0.877, 0.000], [0.623, 0.123, 0.000], [0.672, 0.828, 0.500], [0.172, 0.672, 0.500], [0.328, 0.172, 0.500], [0.828, 0.328, 0.500], [0.000, 0.000, 0.000], [0.500, 0.500, 0.000]]}

Version ii
{"formula": "KAg2Pt2", "functional": "PBE", "state": "relaxed", "mass_density_g_cm3": 9.337, "lattice_angstrom": [[4.582, 0.000, 0.000], [0.000, 4.582, 0.000], [2.291, 2.291, 5.463]], "species": ["Ag", "Ag", "Pt", "Pt", "K"], "frac_coords": [[0.250, 0.750, 0.500], [0.750, 0.250, 0.500], [0.385, 0.385, 0.229], [0.615, 0.615, 0.771], [0.000, 0.000, 0.000]]}

Version iii
{"formula": "KAg2Pt2", "functional": "PBE", "state": "relaxed", "mass_density_g_cm3": 10.794, "lattice_angstrom": [[-5.799, -5.083, 3.275], [4.576, -0.722, 6.981], [-1.334, 2.234, 1.105]], "species": ["Pt", "Pt", "Pt", "Pt", "Ag", "Ag", "Ag", "Ag", "K", "K"], "frac_coords": [[0.617, 0.117, 0.000], [0.117, 0.383, 0.000], [0.383, 0.883, 0.000], [0.883, 0.617, 0.000], [0.323, 0.177, 0.500], [0.177, 0.677, 0.500], [0.823, 0.323, 0.500], [0.677, 0.823, 0.500], [0.000, 0.000, 0.000], [0.500, 0.500, 0.000]]}

Stability ranking, top and bottom: version iii is the most stable and version ii is the least stable.

Version i
{"formula": "KAgPt", "functional": "PBE", "state": "relaxed", "mass_density_g_cm3": 7.102, "lattice_angstrom": [[-0.556, 3.838, 2.890], [2.110, 0.076, 4.351], [3.730, 2.965, 0.827]], "species": ["Pt", "K", "Ag"], "frac_coords": [[0.750, 0.750, 0.750], [0.500, 0.500, 0.500], [0.000, 0.000, 0.000]]}

Version ii
{"formula": "KAgPt", "functional": "PBE", "state": "relaxed", "mass_density_g_cm3": 7.296, "lattice_angstrom": [[6.251, -0.004, 0.000], [4.060, 4.753, 0.000], [-5.156, -2.375, 2.619]], "species": ["Pt", "K", "Ag"], "frac_coords": [[0.612, 0.612, 0.000], [0.331, 0.331, 0.000], [0.057, 0.057, 0.000]]}

Stability ranking, top and bottom: version ii is the most stable and version i is the least stable.

Version i
{"formula": "KAgPt", "functional": "PBE", "state": "relaxed", "mass_density_g_cm3": 7.538, "lattice_angstrom": [[-3.332, 3.248, 0.428], [0.994, -3.010, 5.345], [3.885, 3.816, 1.274]], "species": ["Pt", "Pt", "Ag", "Ag", "K", "K"], "frac_coords": [[0.552, 0.109, 0.631], [0.073, 0.151, 0.848], [0.611, 0.227, 0.118], [0.071, 0.147, 0.356], [0.817, 0.635, 0.612], [0.346, 0.695, 0.090]]}

Version ii
{"formula": "KAgPt", "functional": "PBE", "state": "relaxed", "mass_density_g_cm3": 7.419, "lattice_angstrom": [[-2.374, -3.945, 2.932], [0.049, -2.915, -3.883], [6.374, 1.471, 2.014]], "species": ["K", "K", "Ag", "Ag", "Pt", "Pt"], "frac_coords": [[0.443, 0.864, 0.672], [0.943, 0.364, 0.672], [0.195, 0.355, 0.172], [0.694, 0.373, 0.172], [0.444, 0.864, 0.172], [0.944, 0.864, 0.173]]}

Version iii
{"formula": "KAgPt", "functional": "PBE", "state": "relaxed", "mass_density_g_cm3": 8.791, "lattice_angstrom": [[7.688, 0.096, -0.099], [7.084, 2.988, -0.095], [0.604, 0.119, 2.890]], "species": ["K", "Pt", "Ag"], "frac_coords": [[0.324, 0.324, 0.676], [0.655, 0.655, 0.345], [0.021, 0.021, 0.979]]}

Version iv
{"formula": "KAgPt", "functional": "PBE", "state": "relaxed", "mass_density_g_cm3": 8.636, "lattice_angstrom": [[4.858, 0.000, 2.728], [1.698, 4.759, 2.666], [-0.012, 0.081, 5.712]], "species": ["K", "K", "Ag", "Ag", "Pt", "Pt"], "frac_coords": [[0.121, 0.629, 0.629], [0.879, 0.371, 0.371], [0.500, 0.000, 0.500], [0.500, 0.500, 0.000], [0.000, 0.000, 0.000], [0.500, 0.000, 0.000]]}

Stability ranking, top and bottom: version iv is the most stable and version iii is the least stable.

Version i
{"formula": "KAgPt", "functional": "PBE", "state": "relaxed", "mass_density_g_cm3": 7.728, "lattice_angstrom": [[6.221, -0.004, 0.003], [3.897, 4.849, -0.003], [-4.566, -3.452, 2.436]], "species": ["Pt", "K", "Ag"], "frac_coords": [[0.611, 0.611, 0.000], [0.332, 0.332, 0.000], [0.057, 0.057, 0.000]]}

Version ii
{"formula": "KAgPt", "functional": "PBE", "state": "relaxed", "mass_density_g_cm3": 8.692, "lattice_angstrom": [[5.093, 0.000, 0.000], [-2.546, 4.411, 0.000], [0.000, 0.000, 2.909]], "species": ["K", "Ag", "Pt"], "frac_coords": [[0.333, 0.667, 0.333], [0.000, 0.000, 0.830], [0.667, 0.333, 0.836]]}

Stability ranking, top and bottom: version i is the most stable and version ii is the least stable.

Version i
{"formula": "KTl2AgPt", "functional": "PBE", "state": "relaxed", "mass_density_g_cm3": 7.258, "lattice_angstrom": [[5.298, 0.000, 0.000], [0.000, 5.298, 0.000], [0.000, 0.000, 6.120]], "species": ["Tl", "Tl", "K", "Pt", "Ag"], "frac_coords": [[0.500, 0.000, 0.000], [0.000, 0.500, 0.000], [0.000, 0.000, 0.500], [0.000, 0.000, 0.000], [0.500, 0.500, 0.500]]}

Version ii
{"formula": "KTl2AgPt", "functional": "PBE", "state": "relaxed", "mass_density_g_cm3": 8.122, "lattice_angstrom": [[-2.626, -4.495, -0.952], [4.555, -2.690, 0.137], [-0.622, -0.779, 5.391]], "species": ["Tl", "Tl", "Pt", "K", "Ag"], "frac_coords": [[0.000, 0.500, 0.000], [0.500, 0.000, 0.000], [0.000, 0.000, 0.000], [0.500, 0.500, 0.500], [0.000, 0.000, 0.500]]}

Stability ranking, top and bottom: version ii is the most stable and version i is the least stable.

Version i
{"formula": "K2Rb4Ag", "functional": "PBE", "state": "relaxed", "mass_density_g_cm3": 1.807, "lattice_angstrom": [[-3.085, -3.359, -6.408], [-4.356, -10.581, 2.816], [-11.365, 2.974, -0.914]], "species": ["Rb", "Rb", "Rb", "Rb", "Rb", "Rb", "Rb", "Rb", "K", "K", "K", "K", "Ag", "Ag"], "frac_coords": [[0.185, 0.723, 0.906], [0.092, 0.094, 0.723], [0.815, 0.277, 0.094], [0.685, 0.906, 0.723], [0.408, 0.277, 0.906], [0.908, 0.906, 0.277], [0.315, 0.094, 0.277], [0.592, 0.723, 0.094], [0.600, 0.299, 0.500], [0.100, 0.500, 0.299], [0.900, 0.500, 0.701], [0.400, 0.701, 0.500], [0.250, 0.000, 0.000], [0.750, 0.000, 0.000]]}

Version ii
{"formula": "K2Rb4Ag", "functional": "PBE", "state": "relaxed", "mass_density_g_cm3": 1.592, "lattice_angstrom": [[6.947, 0.000, 0.000], [0.000, 6.947, 0.000], [-3.473, -3.473, 11.411]], "species": ["K", "K", "Rb", "Rb", "Rb", "Rb", "Ag"], "frac_coords": [[0.645, 0.645, 0.290], [0.355, 0.355, 0.710], [0.000, 0.500, 0.000], [0.841, 0.841, 0.682], [0.159, 0.159, 0.318], [0.500, 0.000, 0.000], [0.000, 0.000, 0.000]]}

Stability ranking, top and bottom: version i is the most stable and version ii is the least stable.

Version i
{"formula": "KRbAg2", "functional": "PBE", "state": "relaxed", "mass_density_g_cm3": 3.798, "lattice_angstrom": [[0.000, 4.206, 4.206], [4.206, 0.000, 4.206], [4.206, 4.206, 0.000]], "species": ["Rb", "K", "Ag", "Ag"], "frac_coords": [[0.500, 0.500, 0.500], [0.000, 0.000, 0.000], [0.250, 0.250, 0.250], [0.750, 0.750, 0.750]]}

Version ii
{"formula": "KRbAg2", "functional": "PBE", "state": "relaxed", "mass_density_g_cm3": 3.159, "lattice_angstrom": [[4.759, 0.000, -1.290], [0.000, 8.463, 0.000], [-0.160, 0.000, 8.927]], "species": ["Rb", "Rb", "Ag", "Ag", "Ag", "Ag", "K", "K"], "frac_coords": [[0.885, 0.750, 0.769], [0.115, 0.250, 0.231], [0.250, 0.917, 0.500], [0.250, 0.583, 0.500], [0.750, 0.083, 0.500], [0.750, 0.417, 0.500], [0.370, 0.250, 0.739], [0.630, 0.750, 0.261]]}

Version iii
{"formula": "KRbAg2", "functional": "PBE", "state": "relaxed", "mass_density_g_cm3": 3.828, "lattice_angstrom": [[-0.308, -0.287, 4.215], [1.126, -4.079, -0.196], [7.908, 2.148, 0.724]], "species": ["Ag", "Ag", "K", "Rb"], "frac_coords": [[0.000, 0.000, 0.219], [0.000, 0.000, 0.781], [0.500, 0.500, 0.000], [0.500, 0.500, 0.500]]}

Version iv
{"formula": "KRbAg2", "functional": "PBE", "state": "relaxed", "mass_density_g_cm3": 3.088, "lattice_angstrom": [[5.063, 0.000, 0.000], [2.531, 4.384, 0.000], [2.531, 1.461, 8.244]], "species": ["Rb", "K", "Ag", "Ag"], "frac_coords": [[0.500, 0.500, 0.500], [0.000, 0.000, 0.000], [0.255, 0.255, 0.234], [0.745, 0.745, 0.766]]}

Stability ranking, top and bottom: version ii is the most stable and version iv is the least stable.